1.
Material: PSeSN2
Method: DFT, meta-GGA SCAN
State: single point on PBEsol structure

POSCAR file:
```
PSeSN2
1.0
-2.879 -0.765 1.948
1.914 -2.302 1.925
1.472 4.526 3.951
N S P Se
2 1 1 1
Direct
0.500 0.000 0.000
0.000 0.500 0.000
0.000 0.000 0.500
0.500 0.500 0.500
0.000 0.000 0.000
```

Output
The space group is No. 123. The calculation puts the formation energy without anion corrections at 1.751 eV/atom.



2.
Material: PSeS2N
Method: DFT, meta-GGA SCAN
State: single point on PBEsol structure

POSCAR file:
```
PSeS2N
1.0
4.716 0.000 0.000
0.000 4.716 0.000
0.000 0.000 4.860
Se P S N
1 1 2 1
Direct
0.000 0.000 0.000
0.000 0.000 0.500
0.500 0.000 0.000
0.000 0.500 0.000
0.500 0.500 0.500
```

Output
The energy above the lowest structure with this stoichiometry is 418 meV/atom. The space group is No. 123. The calculation puts the formation energy without anion corrections at 1.855 eV/atom.



no.,total DFT energy (no corrections) (eV for the cell shown),total moment (μB per cell),density of states at the Fermi level (states/eV/cell)
1,-49.9,0.52,2.614
2,-49.8,1.52,2.639